1.
La4Pm5 | Alexandria | PBE | relaxed; total energy = -43.30 eV/cell; volume = 35.6 A^3/atom
1.0
-2.902 -1.473 4.110
-1.496 -8.083 -0.611
5.057 -2.247 6.109
La Pm
4 5
Cartesian
1.436 -2.480 6.812
-1.466 -3.187 1.166
0.719 -1.240 3.407
-2.932 -6.369 2.333
-0.739 -4.438 4.574
1.398 -7.365 5.033
0.000 0.000 0.000
0.698 -6.129 1.639
2.863 -4.201 3.860



2.
Na2Li2Hg | Alexandria | PBE | relaxed; total energy = -14.51 eV/cell; excess energy over the best structure of this formula in the dataset = 0.000 eV per atom; volume = 25.5 A^3/atom
1.0
-6.972 1.338 -0.148
-1.287 -6.855 -1.331
-0.281 -0.912 4.969
Na Hg Li
4 2 4
Cartesian
-2.261 -4.871 1.554
-5.930 -5.177 1.291
-6.278 -1.559 1.935
-2.609 -1.253 2.199
0.000 0.000 0.000
-4.129 -2.759 -0.740
-3.590 -5.396 -1.194
-6.801 -3.263 -0.984
-4.669 -0.122 -0.286
-1.458 -2.254 -0.496



3.
Tb10NdEr4 | Alexandria | PBE | relaxed; total energy = -58.42 eV/cell; volume = 37.8 A^3/atom
1.0
-4.440 -6.211 -0.764
4.764 -7.934 -1.713
-1.623 -4.571 8.065
Tb Nd Er
10 1 4
Cartesian
0.460 -7.805 2.985
-2.892 -10.531 6.243
-0.236 -2.492 2.229
1.141 -13.140 3.739
-0.610 -11.267 -1.034
1.593 -8.184 -0.655
-1.759 -10.910 2.603
-0.688 -7.448 6.622
-2.440 -5.575 1.850
-1.062 -16.223 3.360
0.000 0.000 0.000
1.378 -10.654 1.554
-1.994 -13.382 4.804
0.696 -5.333 0.785
-2.677 -8.061 4.034



4.
ZrSc2ReIr | Alexandria | PBE | relaxed; total energy = -39.29 eV/cell; volume = 23.6 A^3/atom
1.0
-1.973 -2.681 -3.585
0.438 -4.054 2.791
-4.455 0.797 1.857
Sc Re Ir Zr
2 1 1 1
Cartesian
-2.228 0.398 0.928
-0.987 -1.340 -1.792
0.000 0.000 0.000
-2.995 -2.969 0.531
0.219 -2.027 1.395



5.
LaPm2Cd9 | Alexandria | PBE | relaxed; total energy = -25.87 eV/cell; volume = 25.2 A^3/atom
1.0
5.771 0.000 1.717
2.630 5.137 1.717
0.098 0.060 10.226
La Pm Cd
1 2 9
Cartesian
0.000 0.000 0.000
7.252 4.435 7.292
1.246 0.762 6.368
5.585 3.415 2.341
2.913 1.781 11.320
4.249 2.598 6.830
3.481 2.128 4.016
6.431 2.128 4.894
4.825 4.755 4.894
5.017 3.068 9.645
3.673 0.442 8.767
2.067 3.068 8.767



6.
InGaF5 | Alexandria | PBE | relaxed; total energy = -63.48 eV/cell; formation energy (no corrections) = -54.75 kcal/mol of atoms; volume = 15.2 A^3/atom
1.0
5.647 -0.055 0.011
1.739 5.373 0.011
2.653 1.910 7.021
In Ga F
2 2 10
Cartesian
4.432 3.031 1.766
5.607 4.197 5.277
0.000 0.000 0.000
1.327 0.955 3.511
6.028 4.288 0.821
4.147 4.677 3.411
7.305 5.312 4.332
6.174 0.612 1.766
2.962 3.824 0.121
7.078 3.404 6.921
3.865 6.616 5.277
2.734 1.916 2.710
5.892 2.551 3.632
4.011 2.940 6.221



7.
Os3Cl | Alexandria | PBE | relaxed; total energy = -31.67 eV/cell; excess energy over the best structure of this formula in the dataset = 0.350 eV per atom; formation energy (no corrections) = 22.27 kcal/mol of atoms; volume = 15.3 A^3/atom
1.0
-2.422 0.770 -1.229
0.147 -2.190 1.775
-1.777 5.525 6.963
Cl Os
1 3
Cartesian
0.000 0.000 0.000
-2.464 3.414 5.471
-0.888 2.762 3.481
-1.588 0.690 2.038



8.
Sm5Er2TmSc | Alexandria | PBE | relaxed; total energy = -84.70 eV/cell; volume = 32.4 A^3/atom
1.0
5.308 0.000 0.000
-2.654 10.842 0.000
0.000 0.000 10.130
Sm Er Tm Sc
10 4 2 2
Cartesian
0.000 8.105 0.083
2.654 4.787 8.311
2.654 0.001 7.679
0.000 6.061 7.056
0.000 0.021 5.147
2.654 2.737 5.148
0.000 6.055 3.246
0.000 10.841 2.614
2.654 4.781 1.990
2.654 10.821 0.082
2.654 8.337 7.664
0.000 2.510 7.696
0.000 2.505 2.599
2.654 8.332 2.631
2.654 2.187 0.082
0.000 8.655 5.147
2.654 6.193 5.151
0.000 4.649 0.086



9.
SiNi6B2 | Alexandria | PBE | relaxed; total energy = -55.10 eV/cell; excess energy over the best structure of this formula in the dataset = 0.179 eV per atom; formation energy (no corrections) = -4.20 kcal/mol of atoms; volume = 9.8 A^3/atom
1.0
3.860 0.000 0.000
1.930 3.770 -0.455
1.930 1.196 5.898
Si Ni B
1 6 2
Cartesian
1.930 2.483 2.721
5.790 3.748 5.135
1.930 1.219 0.308
5.790 3.624 0.713
3.860 3.630 2.223
1.930 1.343 4.729
3.860 1.337 3.220
3.860 3.097 4.319
3.860 1.870 1.124



10.
K2Sc2SbO6 | Alexandria | PBE | relaxed; total energy = -74.67 eV/cell; formation energy (no corrections) = -54.38 kcal/mol of atoms; volume = 15.8 A^3/atom
1.0
5.628 -0.015 0.052
-2.795 4.885 0.052
-1.009 -1.735 6.289
K Sc Sb O
2 2 1 6
Cartesian
4.214 0.808 0.052
-1.381 4.062 0.052
-0.484 2.380 3.197
2.308 0.756 3.197
-0.505 -0.867 3.145
1.383 2.377 4.294
-1.476 0.749 4.241
0.441 0.759 2.100
1.380 -0.913 4.241
3.300 2.387 2.154
0.444 4.048 2.154



11.
Hg2SI2F | Alexandria | PBE | relaxed; total energy = -24.44 eV/cell; formation energy (no corrections) = -9.67 kcal/mol of atoms; volume = 35.6 A^3/atom
1.0
-6.364 -0.496 2.160
1.480 -5.405 3.119
4.757 8.218 5.390
Hg S I F
4 2 4 2
Cartesian
2.421 3.329 7.897
-2.548 -1.012 2.772
1.370 -3.450 3.242
-1.497 5.767 7.427
-1.591 -0.124 0.540
-4.773 -0.372 1.620
-1.660 -1.051 5.381
1.563 -0.950 4.386
-1.690 3.267 6.284
1.532 3.368 5.289
-4.033 -3.074 3.180
-0.851 -2.826 2.099



12.
Pu2UPd | Alexandria | PBE | relaxed; total energy = -45.08 eV/cell; excess energy over the best structure of this formula in the dataset = 0.076 eV per atom; volume = 20.8 A^3/atom
1.0
-1.493 -4.345 -2.028
2.397 -1.857 -4.004
2.681 -3.960 0.291
U Pd Pu
1 1 2
Cartesian
0.000 0.000 0.000
1.792 -5.081 -2.870
0.934 -2.571 -1.398
2.650 -7.591 -4.343



13.
K2Rb2S | Alexandria | PBE | relaxed; total energy = -20.01 eV/cell; excess energy over the best structure of this formula in the dataset = 0.027 eV per atom; formation energy (no corrections) = -8.05 kcal/mol of atoms; volume = 57.9 A^3/atom
1.0
8.675 0.000 0.000
0.000 8.675 0.000
0.000 0.000 7.688
K S Rb
4 2 4
Cartesian
1.610 5.947 3.844
5.947 7.065 3.844
7.065 2.728 3.844
2.728 1.610 3.844
0.000 0.000 0.000
4.338 4.338 0.000
2.821 7.158 0.000
7.158 5.854 0.000
5.854 1.517 0.000
1.517 2.821 0.000



14.
La2HgSb | Alexandria | PBE | relaxed; total energy = -33.09 eV/cell; excess energy over the best structure of this formula in the dataset = 0.264 eV per atom; formation energy (no corrections) = -13.07 kcal/mol of atoms; volume = 33.8 A^3/atom
1.0
8.535 0.000 0.000
0.000 8.535 0.000
4.267 4.267 3.716
Sb Hg La
2 2 4
Cartesian
4.267 4.267 0.000
4.267 8.535 1.858
0.000 0.000 0.000
8.535 4.267 1.858
6.416 2.134 0.929
2.119 6.401 0.929
6.401 6.386 2.787
10.669 10.684 2.787



15.
Ca2YSc | Alexandria | PBE | relaxed; total energy = -15.98 eV/cell; excess energy over the best structure of this formula in the dataset = 0.115 eV per atom; volume = 33.9 A^3/atom
1.0
-5.506 -10.782 1.689
-2.201 -11.990 0.905
-3.019 -11.042 4.286
Y Sc Ca
1 1 2
Cartesian
-8.045 -25.360 5.161
-2.682 -8.453 1.720
-10.692 -33.701 6.858
-5.399 -17.019 3.463



16.
SrCaCl2 | Alexandria | PBE | relaxed; total energy = -14.09 eV/cell; excess energy over the best structure of this formula in the dataset = 0.010 eV per atom; formation energy (no corrections) = -38.70 kcal/mol of atoms; volume = 29.9 A^3/atom
1.0
-1.374 -3.086 2.098
2.939 -2.273 -1.419
7.308 -0.262 4.402
Sr Ca Cl
1 1 2
Cartesian
4.778 -1.426 1.032
7.435 -3.244 3.867
7.205 -0.310 4.265
1.885 -2.172 1.808



17.
LaHBr3 | Alexandria | PBE | relaxed; total energy = -16.74 eV/cell; excess energy over the best structure of this formula in the dataset = 0.887 eV per atom; volume = 22.3 A^3/atom
1.0
-4.662 0.331 1.145
0.836 -2.387 4.094
0.850 4.165 2.255
H Br La
1 3 1
Cartesian
0.000 0.000 0.000
0.418 -1.194 2.047
0.425 2.082 1.128
-2.331 0.166 0.573
-1.488 1.055 3.747



18.
CaNdMgSn | Alexandria | PBE | relaxed; total energy = -14.01 eV/cell; volume = 28.5 A^3/atom
1.0
-3.077 0.221 -4.487
0.606 -3.747 -3.904
-3.885 -3.726 -0.824
Mg Ca Nd Sn
1 1 1 1
Cartesian
-4.766 -5.439 -6.912
-3.178 -3.626 -4.608
0.000 0.000 0.000
-1.589 -1.813 -2.304



19.
In4Bi2Ir | Alexandria | PBE | relaxed; total energy = -27.02 eV/cell; volume = 37.0 A^3/atom
1.0
-4.290 -0.838 2.683
-0.084 -4.855 -1.651
3.212 -5.585 8.294
Ir Bi In
1 2 4
Cartesian
0.000 0.000 0.000
0.277 -4.096 4.066
-1.439 -7.182 5.260
1.799 -4.868 6.258
-2.961 -6.410 3.067
-0.042 -2.428 -0.825
-2.145 -0.419 1.341



20.
ReAg2W | Alexandria | PBE | relaxed; total energy = -28.33 eV/cell; excess energy over the best structure of this formula in the dataset = 0.336 eV per atom; volume = 17.1 A^3/atom
1.0
-4.358 2.068 2.203
-3.576 -3.579 1.589
4.998 1.661 0.622
Re Ag W
1 2 1
Cartesian
-4.147 -0.790 1.982
-7.901 -1.505 3.775
-1.315 -1.345 2.073
-1.475 1.523 2.270